Record 1
Computed, not measured: a relaxed structure of LiGa2Br at the GGA-PBE level of DFT.

Values from the calculation:
The calculation puts the formation energy (no corrections) at -0.470 eV/atom. As for the relative energy among the computed polymorphs: 0.180 eV/atom.

Unit cell a=8.3265 b=5.2586 c=5.2565 alpha=90.00 beta=108.68 gamma=90.00
With the nearest neighbours (Å) after each atom.
Element x y z (fractional)
Li 0.9932 0.0000 0.8569  4 Br 2.63
Li 0.9932 0.5000 0.3569  4 Br 2.63
Ga 0.4951 0.7500 0.6088  4 Ga 2.63
Ga 0.4951 0.2500 0.1088  4 Ga 2.63
Ga 0.4951 0.7500 0.1088  4 Ga 2.63
Ga 0.4951 0.2500 0.6088  4 Ga 2.63
Br 0.9935 0.5000 0.8574  4 Li 2.63
Br 0.9935 0.0000 0.3574  4 Li 2.63



Record 2
Computed, not measured: a relaxed structure of LiGaBr2 at the GGA-PBE level of DFT.

Values from the calculation:
The calculation puts the formation energy (no corrections) at -0.984 eV/atom. As for the relative energy among the computed polymorphs: 0.003 eV/atom.

Unit cell a=6.7241 b=6.7241 c=7.5357 alpha=63.50 beta=63.50 gamma=90.00
With the nearest neighbours (Å) after each atom.
Element x y z (fractional)
Br 0.3750 0.4356 0.7500  2 Li 2.57
Br 0.8750 0.8144 0.7500  2 Li 2.57
Br 0.1856 0.6250 0.2500  2 Li 2.57
Br 0.5644 0.1250 0.2500  2 Li 2.57
Ga 0.0000 0.0000 0.0000  4 Br 3.05
Ga 0.7500 0.2500 0.5000  4 Br 3.05
Li 0.5000 0.5000 0.0000  4 Br 2.57
Li 0.2500 0.7500 0.5000  4 Br 2.57



Record 3
Computed, not measured: a relaxed structure of LiGa6Br12 at the GGA-PBE level of DFT.

Values from the calculation:
The calculation puts the formation energy (no corrections) at -0.703 eV/atom.

Unit cell a=16.4684 b=14.7956 c=6.8608 alpha=96.00 beta=97.47 gamma=151.34
With the nearest neighbours (Å) after each atom.
Element x y z (fractional)
Ga 0.5320 0.3692 0.7925  3 Br 2.46-2.61, 1 Ga 2.63
Ga 0.5710 0.4156 0.4337  2 Br 2.40-2.58, 2 Ga 2.59-2.63
Ga 0.4085 0.7391 0.5611  3 Br 2.31-2.48
Ga 0.5915 0.2609 0.4389  3 Br 2.31-2.48
Ga 0.4680 0.6308 0.2075  3 Br 2.46-2.61, 1 Ga 2.63
Ga 0.4290 0.5844 0.5663  2 Br 2.40-2.58, 2 Ga 2.59-2.63
Br 0.6714 0.0687 0.8653  1 Ga 2.31
Br 0.7799 0.7541 0.5453  1 Ga 2.40
Br 0.8701 0.7257 0.0725  1 Ga 2.46, 1 Li 2.60
Br 0.8950 0.5137 0.5164  1 Ga 2.31
Br 0.5227 0.1843 0.7550  2 Ga 2.48-2.59
Br 0.4773 0.8157 0.2450  2 Ga 2.48-2.59
Br 0.1050 0.4863 0.4836  1 Ga 2.31
Br 0.3286 0.9313 0.1347  1 Ga 2.31
Br 0.6485 0.7738 0.9731  2 Ga 2.58-2.61
Br 0.2201 0.2459 0.4547  1 Ga 2.40
Br 0.3515 0.2262 0.0269  2 Ga 2.58-2.61
Br 0.1299 0.2743 0.9275  1 Ga 2.46, 1 Li 2.60
Li 0.0000 0.0000 0.0000  4 Br 2.60-2.77



Record 4
Computed, not measured: a relaxed structure of LiGa2Br at the GGA-PBE level of DFT.

Values from the calculation:
The calculation puts the formation energy (no corrections) at -0.565 eV/atom. As for the relative energy among the computed polymorphs: 0.085 eV/atom.

Unit cell a=4.3335 b=4.6206 c=11.1933 alpha=97.82 beta=101.21 gamma=89.98
With the nearest neighbours (Å) after each atom.
Element x y z (fractional)
Li 0.2624 0.3964 0.0866  4 Br 2.52-2.67
Li 0.6437 0.8229 0.8474  2 Br 2.51
Ga 0.0029 0.0506 0.5589  6 Ga 2.51-2.71
Ga 0.5088 0.7269 0.5709  6 Ga 2.57-2.70
Ga 0.5673 0.2789 0.6857  4 Ga 2.57-2.71, 1 Li 2.87
Ga 0.9476 0.4908 0.4479  4 Ga 2.51-2.70, 1 Br 2.65
Br 0.8220 0.4420 0.2046  2 Li 2.52, 1 Ga 2.65
Br 0.2026 0.8567 0.9640  4 Li 2.51-2.67



Record 5
Computed, not measured: a relaxed structure of LiGa2Br8 at the GGA-PBE level of DFT.

Values from the calculation:
The calculation puts the formation energy (no corrections) at -0.807 eV/atom.

Unit cell a=6.3012 b=8.2675 c=8.2675 alpha=75.48 beta=82.56 gamma=82.56
With the nearest neighbours (Å) after each atom.
Element x y z (fractional)
Br 0.2508 0.2753 0.9068  1 Ga 2.39
Br 0.7492 0.7247 0.0932  1 Ga 2.39
Br 0.7302 0.1876 0.1876  1 Ga 2.36
Br 0.2508 0.9068 0.2753  1 Ga 2.39
Br 0.1786 0.3564 0.3564  1 Ga 2.33
Br 0.7492 0.0932 0.7247  1 Ga 2.39
Br 0.8214 0.6436 0.6436  1 Ga 2.33
Br 0.2698 0.8124 0.8124  1 Ga 2.36
Li 0.0000 0.0000 0.0000  6 Br 2.75-2.83
Ga 0.6432 0.8145 0.8145  4 Br 2.33-2.39
Ga 0.3568 0.1855 0.1855  4 Br 2.33-2.39



Record 6
Computed, not measured: a relaxed structure of LiGaBr3 at the GGA-PBE level of DFT.

Values from the calculation:
The calculation puts the formation energy (no corrections) at -0.739 eV/atom. As for the relative energy among the computed polymorphs: 0.336 eV/atom.

Unit cell a=5.3601 b=5.3601 c=5.3601 alpha=90.00 beta=90.00 gamma=90.00
With the nearest neighbours (Å) after each atom.
Element x y z (fractional)
Br 0.0000 0.5000 0.0000  2 Ga 2.68
Br 0.5000 0.0000 0.0000  2 Ga 2.68
Br 0.0000 0.0000 0.5000  2 Ga 2.68
Li 0.5000 0.5000 0.5000  12 Br 3.79
Ga 0.0000 0.0000 0.0000  6 Br 2.68



Record 7
Computed, not measured: a relaxed structure of LiGa2Br at the GGA-PBE level of DFT.

Values from the calculation:
The calculation puts the formation energy (no corrections) at -0.642 eV/atom. As for the relative energy among the computed polymorphs: 0.008 eV/atom.

Unit cell a=13.4803 b=4.1256 c=7.3705 alpha=90.00 beta=92.46 gamma=90.00
With the nearest neighbours (Å) after each atom.
Element x y z (fractional)
Br 0.8132 0.0000 0.6858  3 Li 2.52-2.53
Br 0.8132 0.5000 0.1858  3 Li 2.52-2.53
Br 0.0612 0.0000 0.0332  4 Li 2.49-2.63
Br 0.0612 0.5000 0.5332  4 Li 2.49-2.63
Li 0.1040 0.5000 0.2077  3 Br 2.49
Li 0.1040 0.0000 0.7077  3 Br 2.49
Li 0.8657 0.0000 0.0188  4 Br 2.52-2.63
Li 0.8657 0.5000 0.5188  4 Br 2.52-2.63
Ga 0.4879 0.5000 0.5925  6 Ga 2.67-2.74
Ga 0.3198 0.5000 0.2404  3 Ga 2.66, 1 Li 2.91
Ga 0.5805 0.5000 0.2691  3 Ga 2.71-2.74
Ga 0.4879 0.0000 0.0925  6 Ga 2.67-2.74
Ga 0.3198 0.0000 0.7404  3 Ga 2.66, 1 Li 2.91
Ga 0.5805 0.0000 0.7691  3 Ga 2.71-2.74
Ga 0.4018 0.0000 0.4183  6 Ga 2.66-2.71
Ga 0.4018 0.5000 0.9183  6 Ga 2.66-2.71



Record 8
Computed, not measured: a relaxed structure of LiGa3Br at the GGA-PBE level of DFT.

Values from the calculation:
The calculation puts the formation energy (no corrections) at 0.350 eV/atom. As for the relative energy among the computed polymorphs: 0.303 eV/atom.

Unit cell a=5.6115 b=5.6115 c=5.6115 alpha=90.00 beta=90.00 gamma=90.00
With the nearest neighbours (Å) after each atom.
Element x y z (fractional)
Br 0.0000 0.0000 0.0000  6 Ga 2.81
Ga 0.0000 0.0000 0.5000  2 Br 2.81
Ga 0.5000 0.0000 0.0000  2 Br 2.81
Ga 0.0000 0.5000 0.0000  2 Br 2.81
Li 0.5000 0.5000 0.5000  12 Ga 3.97



| no. | E_tot (eV per atom) |
| --- | --- |
| 1 | -2.880 |
| 2 | -3.056 |
| 3 | -2.816 |
| 4 | -2.975 |
| 5 | -2.748 |
| 6 | -2.731 |
| 7 | -3.052 |
| 8 | -2.184 |